[1]
Material: Ba2CaWN4
Method: DFT, meta-GGA SCAN
State: PBEsol geometry

Geometry as extended XYZ:
```
32
Lattice="0.000 5.981 8.916 5.399 0.000 8.916 5.399 5.981 0.000" Properties=species:S:1:pos:R:3 pbc="T T T"
Ba 7.529 4.486 6.687
Ba 4.049 4.486 4.704
Ba 10.228 7.477 11.145
Ba 4.049 4.486 8.669
Ba 6.748 7.477 9.162
Ba 0.569 4.486 6.687
Ba 6.748 7.477 13.127
Ba 3.268 7.477 11.145
Ca 4.049 4.486 0.653
Ca 6.748 7.477 5.111
Ca 4.049 4.486 12.721
Ca 6.748 7.477 17.179
W 4.049 1.583 6.687
W 6.748 4.574 11.145
W 4.049 7.389 6.687
W 6.748 10.380 11.145
N 6.848 5.491 3.748
N 5.566 2.683 6.539
N 9.548 6.472 8.206
N 6.848 3.481 9.626
N 8.265 5.674 11.293
N 2.533 2.683 6.835
N 1.250 3.481 3.748
N 5.566 6.289 6.835
N 5.232 5.674 10.996
N 9.548 8.482 14.084
N 8.265 9.280 10.996
N 2.533 6.289 6.539
N 3.949 8.482 8.206
N 1.250 5.491 9.626
N 5.232 9.280 11.293
N 3.949 6.472 14.084
```

Computed properties:
* uncorrected formation energy: -9.46 eV per formula unit
* total magnetization: 0.000 μB per atom



[2]
Material: KCr2Tc
Method: DFT, meta-GGA SCAN
State: PBEsol geometry

Geometry as extended XYZ:
```
4
Lattice="2.897 0.000 0.000 0.000 2.897 0.000 0.000 0.000 8.571" Properties=species:S:1:pos:R:3 pbc="T T T"
K 0.000 0.000 0.000
Cr 0.000 0.000 4.314
Cr 1.449 1.449 5.718
Tc 1.449 1.449 2.928
```

Computed properties:
* final energy: -19.371 eV/atom
* total magnetization: 0.784 μB per atom